# CoMo

Crystalline CoMo at its relaxed geometry (PBEsol, Alexandria via LeMat-Bulk).

```
CoMo
1.0
2.958 0.000 0.000
0.000 2.958 0.000
0.000 0.000 2.958
Mo Co
1 1
direct
0.500 0.500 0.500
0.000 0.000 0.000
```

Results
The calculation puts the energy of formation from the pure elements at 28.5 kJ per mole of atoms. Its space group is Pm-3m. The calculation puts the total DFT energy (no corrections) at -9.457 eV/atom. For the density, the calculation gives 9.932 g/cm³.